RbCaInS3: optimized geometry, PBE.

Cell: 4.1454 7.9226 11.3326 Å, 90.00 90.00 105.17°
Last column: nearest neighbours and their distance in Å.
Fractional positions:
Rb 0.7464 0.4928 0.7500  6 S 3.47-3.58
S 0.6187 0.2375 0.0673  1 In 2.43
Ca 0.0000 0.0000 0.5000  6 S 2.86-3.00
S 0.3813 0.7625 0.5674  1 In 2.43
Rb 0.2536 0.5072 0.2500  6 S 3.47-3.58
S 0.0642 0.1283 0.7500  2 In 2.58
S 0.3813 0.7625 0.9326  1 In 2.43
S 0.9358 0.8717 0.2500  2 In 2.58
Ca 0.0000 0.0000 0.0000  6 S 2.86-3.00
In 0.4639 0.9278 0.7500  4 S 2.43-2.58
S 0.6187 0.2375 0.4326  1 In 2.43
In 0.5361 0.0722 0.2500  4 S 2.43-2.58

The calculation puts the total energy at -4.309 eV per atom. As for the space-group type: Cmcm (63). The value obtained for the formation energy (no corrections) is -1.2940 eV/atom.